Record 1
Computed, not measured: a PBEsol-optimized structure of K3RbBr at the SCAN level of DFT.

The value obtained for the calculated total energy is -13.060 eV per atom. The value obtained for the energy above the lowest structure with this stoichiometry is 661 meV/atom. The calculation puts the uncorrected formation energy at -0.0231 eV/atom. As for the theoretical density: 1.05 g cm⁻³.

The space group is Pm-3m (No. 221) and the conventional cell measures 7.639, 7.639 and 7.639 Å, with angles of 90.00, 90.00 and 90.00 degrees. The distinct sites, in fractional coordinates, are K at (0.000, 0.000, 0.500), Rb at (0.000, 0.000, 0.000) and Br at (0.500, 0.500, 0.500).

***

Record 2
Computed, not measured: a PBEsol-optimized structure of K3RbBr at the SCAN level of DFT.

The value obtained for the calculated total energy is -13.721 eV per atom. The value obtained for the energy above the lowest structure with this stoichiometry is 0 meV/atom. The calculation puts the uncorrected formation energy at -0.6838 eV/atom. As for the theoretical density: 1.57 g cm⁻³.

The space group is Pm-3m (No. 221) and the conventional cell measures 6.681, 6.681 and 6.681 Å, with angles of 90.00, 90.00 and 90.00 degrees. The distinct sites, in fractional coordinates, are K at (0.000, 0.000, 0.500), Rb at (0.500, 0.500, 0.500) and Br at (0.000, 0.000, 0.000).